Record 1
## DyAl3Ni2 (GGA-PBE)

Data for crystalline DyAl3Ni2 at its relaxed geometry.

Unit cell a=8.9936 b=8.9936 c=4.0779 alpha=90.00 beta=90.00 gamma=120.00
Space group P6/mmm (No. 191)
Asymmetric unit:
Dy  0.0000  0.0000  0.0000 [1 per cell]
Dy  0.3333  0.6667  0.5000 [2 per cell]
Al  0.0000  0.2978  0.5000 [6 per cell]
Al  0.0000  0.5000  0.0000 [3 per cell]
Ni  0.1818  0.3636  0.0000 [6 per cell]

* E: -5.159 eV per atom
* size of the total moment: 0.001 μB per formula unit

Record 2
## CdCu7 (GGA-PBE)

Data for crystalline CdCu7 at its relaxed geometry.

Unit cell a=2.587 b=2.587 c=35.775 alpha=90.00 beta=90.00 gamma=90.00
Space group P4/nmm (No. 129, origin choice 2)
Asymmetric unit:
Cd  0.250  0.250  0.114 [2 per cell]
Cu  0.250  0.250  0.228 [2 per cell]
Cu  0.250  0.250  0.327 [2 per cell]
Cu  0.250  0.250  0.426 [2 per cell]
Cu  0.250  0.250  0.525 [2 per cell]
Cu  0.250  0.250  0.624 [2 per cell]
Cu  0.250  0.250  0.723 [2 per cell]
Cu  0.250  0.250  0.822 [2 per cell]

* distance to the lowest polymorph of the same formula: 18 meV/atom

Record 3
## LiScZnO3 (GGA-PBE)

Data for crystalline LiScZnO3 at its relaxed geometry.

Unit cell a=11.721 b=3.064 c=7.111 alpha=90.00 beta=108.47 gamma=90.00
Space group C2 (No. 5)
Asymmetric unit:
Li  0.177  0.000  0.353 [4 per cell]
Sc  0.000  0.114  0.500 [2 per cell]
Sc  0.000  0.574  0.000 [2 per cell]
Zn  0.187  0.654  0.833 [4 per cell]
O  0.017  0.080  0.805 [4 per cell]
O  0.132  0.598  0.538 [4 per cell]
O  0.189  0.631  0.124 [4 per cell]

* E: -6.392 eV per atom
* size of the total moment: 0.002 μB per formula unit

Record 4
## Re2SnPt (GGA-PBE)

Data for crystalline Re2SnPt at its relaxed geometry.

Unit cell a=6.419 b=6.419 c=6.419 alpha=90.00 beta=90.00 gamma=90.00
Space group F-43m (No. 216)
Asymmetric unit:
Re  0.000  0.000  0.000 [4 per cell]
Re  0.250  0.250  0.250 [4 per cell]
Sn  0.000  0.000  0.500 [4 per cell]
Pt  0.250  0.250  0.750 [4 per cell]

* E: -8.203 eV per atom
* size of the total moment: 0.020 μB per formula unit

Question: Which formula does entry 3 have?
Answer: LiScZnO3

Question: Number 2 is which compound?
Answer: CdCu7